Cs2Mg2InI7: relaxed, PBE.

Summary:
Formation energy without anion corrections   -1061 meV/atom

abc: 5.8719 5.8719 15.7505
angles: 79.25 79.25 89.99
Sites, in units of the cell vectors:
Cs  0.8221  0.8221  0.3563
Cs  0.1779  0.1779  0.6437
I  0.5892  0.0903  0.8212
I  0.0903  0.5892  0.8212
I  0.6920  0.6920  0.6160
I  0.5000  0.5000  0.0000
I  0.9097  0.4108  0.1788
I  0.3080  0.3080  0.3840
I  0.4108  0.9097  0.1788
Mg  0.6001  0.6001  0.8046
Mg  0.3999  0.3999  0.1954
In  0.0000  0.0000  0.0000

=====

InCo2Te: relaxed, PBE.

Summary:
Formation energy without anion corrections   725 meV/atom

abc: 4.6683 4.6683 4.6683
angles: 60.00 60.00 60.00
Sites, in units of the cell vectors:
In  0.5000  0.5000  0.5000
Co  0.2500  0.2500  0.2500
Co  0.0000  0.0000  0.0000
Te  0.7500  0.7500  0.7500

=====

Zr2CdInH: relaxed, PBE.

Summary:
Raw total energy   -5.06 eV per atom

abc: 4.3587 4.3587 4.6946
angles: 90.00 90.00 90.00
Sites, in units of the cell vectors:
In  0.5000  0.5000  0.5000
H  0.0000  0.0000  0.0000
Zr  0.0000  0.5000  0.0000
Zr  0.5000  0.0000  0.0000
Cd  0.0000  0.0000  0.5000

=====

RbTlSe2: relaxed, PBE.

Summary:
Formation energy without anion corrections   -258 meV/atom

abc: 5.6191 5.6191 5.6191
angles: 60.00 60.00 60.00
Sites, in units of the cell vectors:
Tl  0.5000  0.5000  0.5000
Rb  0.0000  0.0000  0.0000
Se  0.7500  0.7500  0.7500
Se  0.2500  0.2500  0.2500

=====

TlV4S8: relaxed, PBE.

Summary:
Formation energy without anion corrections   -764 meV/atom

abc: 6.9956 6.9956 6.9956
angles: 60.00 60.00 60.00
Sites, in units of the cell vectors:
S  0.6049  0.6049  0.6049
S  0.1853  0.6049  0.6049
S  0.6049  0.1853  0.6049
S  0.6288  0.1237  0.1237
S  0.6049  0.6049  0.1853
S  0.1237  0.1237  0.1237
S  0.1237  0.1237  0.6288
S  0.1237  0.6288  0.1237
V  0.9393  0.3536  0.3536
V  0.3536  0.9393  0.3536
V  0.3536  0.3536  0.9393
V  0.3536  0.3536  0.3536
Tl  0.7500  0.7500  0.7500

=====

SrZr2As: relaxed, PBE.

Summary:
Formation enthalpy at 0 K   0.033 eV per atom

abc: 5.9209 5.9209 5.9209
angles: 136.51 136.51 63.19
Sites, in units of the cell vectors:
As  0.2500  0.7500  0.5000
Zr  0.0000  0.0000  0.0000
Zr  0.5000  0.5000  0.0000
Sr  0.7500  0.2500  0.5000

=====

Ca2FeSb: relaxed, PBE.

Summary:
Formation energy without anion corrections   -119 meV/atom

abc: 6.2437 6.2437 6.2437
angles: 144.51 132.78 60.44
Sites, in units of the cell vectors:
Ca  0.2720  0.7720  0.5000
Ca  0.9837  0.9837  0.0000
Fe  0.5369  0.5369  0.0000
Sb  0.7074  0.2074  0.5000

=====

Sr2LaReN4: relaxed, PBE.

Summary:
Formation energy without anion corrections   -578 meV/atom

abc: 3.5530 6.3789 13.0161
angles: 90.00 90.00 106.17
Sites, in units of the cell vectors:
N  0.5921  0.1841  0.2500
N  0.0000  0.0000  0.0000
N  0.2712  0.5425  0.1385
N  0.7288  0.4575  0.8615
N  0.4079  0.8159  0.7500
N  0.2712  0.5425  0.3615
N  0.0000  0.0000  0.5000
N  0.7288  0.4575  0.6385
Re  0.1831  0.3661  0.2500
Re  0.8169  0.6339  0.7500
Sr  0.6306  0.2612  0.4648
Sr  0.3694  0.7388  0.9648
Sr  0.3694  0.7388  0.5352
Sr  0.6306  0.2612  0.0352
La  0.9293  0.8586  0.2500
La  0.0707  0.1414  0.7500

=====

RbBaCl2: relaxed, PBE.

Summary:
Formation energy without anion corrections   -1710 meV/atom

abc: 7.4809 7.4809 9.2310
angles: 66.10 66.10 90.00
Sites, in units of the cell vectors:
Rb  0.5000  0.5000  0.0000
Rb  0.2500  0.7500  0.5000
Ba  0.0000  0.0000  0.0000
Ba  0.7500  0.2500  0.5000
Cl  0.3750  0.3274  0.7500
Cl  0.8750  0.9226  0.7500
Cl  0.0774  0.6250  0.2500
Cl  0.6726  0.1250  0.2500

=====

Na2TmSe2O6: relaxed, PBE.

Summary:
Formation energy without anion corrections   -1548 meV/atom

abc: 5.8798 5.3327 6.8776
angles: 111.01 90.00 123.46
Sites, in units of the cell vectors:
O  0.2886  0.1019  0.7624
O  0.1867  0.8981  0.2376
O  0.2435  0.4871  0.5006
O  0.7565  0.5129  0.4994
O  0.7114  0.8981  0.2376
O  0.8133  0.1019  0.7624
Tm  0.5000  0.0000  0.5000
Na  0.7039  0.4078  0.1217
Na  0.2961  0.5922  0.8783
Se  0.9169  0.8338  0.7556
Se  0.0831  0.1662  0.2444

=====

Tl8Sn2Pb: relaxed, PBE.

Summary:
Formation enthalpy at 0 K   0.041 eV per atom

abc: 5.3505 8.2838 8.2838
angles: 106.21 90.00 90.00
Sites, in units of the cell vectors:
Tl  0.9995  0.9631  0.6957
Tl  0.5000  0.2560  0.7440
Tl  0.0005  0.0369  0.3043
Tl  0.4994  0.6691  0.6691
Tl  0.0005  0.3043  0.0369
Tl  0.5006  0.3309  0.3309
Tl  0.5000  0.7440  0.2560
Tl  0.9995  0.6957  0.9631
Sn  0.0000  0.3830  0.6170
Sn  0.0000  0.6170  0.3830
Pb  0.5000  0.0000  0.0000

=====

AlTe2Pt: relaxed, PBE.

Summary:
Formation energy without anion corrections   -118 meV/atom

abc: 3.1335 3.1335 10.0780
angles: 90.00 90.00 90.00
Sites, in units of the cell vectors:
Pt  0.5000  0.5000  0.6918
Al  0.0000  0.0000  0.5722
Te  0.0000  0.0000  0.9267
Te  0.5000  0.5000  0.3093

=====

| no. | total magnetic moment (μB/f.u.) |
| --- | --- |
| 1 | 0.0 |
| 2 | 2.7 |
| 3 | 0.0 |
| 4 | 2.0 |
| 5 | 1.0 |
| 6 | 0.0 |
| 7 | 2.3 |
| 8 | 0.0 |
| 9 | 0.0 |
| 10 | 0.0 |
| 11 | 0.0 |
| 12 | 0.0 |